1.
Cr3Hg2 | PBE | relaxed

Cell: 2.9885 2.9885 32.8347 Å, 90.00 90.00 120.00°
Space group R-3m (No. 166, hexagonal axes)
Symmetry-distinct sites (fractional):
Cr 0.0000 0.0000 0.0000 [3 per cell]
Cr 0.0000 0.0000 0.1888 [6 per cell]
Hg 0.0000 0.0000 0.4047 [6 per cell]

M_tot: 3.63 μB per formula unit
DOS at the Fermi energy: 15.9 states/eV per cell
E: -5.3175 eV/atom

---

2.
K4Ta | PBE | relaxed

Cell: 6.882 6.882 6.882 Å, 90.00 90.00 90.00°
Space group Pm-3m (No. 221)
Symmetry-distinct sites (fractional):
K 0.000 0.000 0.000 [1 per cell]
K 0.000 0.500 0.500 [3 per cell]
Ta 0.500 0.500 0.500 [1 per cell]

M_tot: 5.19 μB per formula unit
DOS at the Fermi energy: 2.7 states/eV per cell
E: -2.0619 eV/atom

---

3.
ErPaZnAu | PBE | relaxed

Cell: 7.157 7.157 7.157 Å, 90.00 90.00 90.00°
Space group F-43m (No. 216)
Symmetry-distinct sites (fractional):
Er 0.000 0.000 0.000 [4 per cell]
Pa 0.000 0.000 0.500 [4 per cell]
Zn 0.250 0.250 0.750 [4 per cell]
Au 0.250 0.250 0.250 [4 per cell]

M_tot: 1.48 μB per formula unit
DOS at the Fermi energy: 30.2 states/eV per cell
E: -4.8682 eV/atom

---

4.
Mg2Mn2Be | PBE | relaxed

Cell: 5.778 5.778 4.360 Å, 90.00 90.00 90.00°
Space group P4/mbm (No. 127)
Symmetry-distinct sites (fractional):
Mg 0.175 0.325 0.000 [4 per cell]
Mn 0.130 0.630 0.500 [4 per cell]
Be 0.000 0.000 0.500 [2 per cell]

M_tot: 2.79 μB per formula unit
DOS at the Fermi energy: 9.3 states/eV per cell
E: -4.6995 eV/atom